[1]
Entry from the Alexandria database: a geometry-optimized CdHg2Br structure (GGA-PBE).

Cell: 3.6318 3.6318 7.9797 Å, 90.00 90.00 90.00°
Positions (direct):
Cd  0.0000  0.0000  0.0000
Hg  0.5000  0.5000  0.2382
Hg  0.5000  0.5000  0.7618
Br  0.0000  0.0000  0.5000

Properties
For the energy relative to the elements, uncorrected, the calculation gives -0.09 eV per atom. The calculation puts the density of states at the Fermi level at 1.34 states/eV/f.u. For the energy above the most stable polymorph in this dataset, the calculation gives 0.103 eV per atom. The value obtained for the size of the total moment is 0.00 μB per formula unit. The density comes out at 9.36 g cm⁻³.

[2]
Entry from the Alexandria database: a geometry-optimized BaCaYBi2 structure (GGA-PBE).

Cell: 6.0154 6.0154 5.9375 Å, 90.00 90.00 90.00°
Positions (direct):
Ba  0.0000  0.0000  0.0000
Ca  0.5000  0.5000  0.0000
Y  0.5000  0.5000  0.5000
Bi  0.0000  0.5000  0.5000
Bi  0.5000  0.0000  0.5000

Properties
The calculation puts the density of states at the Fermi level at 4.92 states/eV/f.u. The value obtained for the size of the total moment is 0.00 μB per formula unit. The calculation puts the formation energy at -0.16 eV per atom. The density comes out at 5.29 g cm⁻³.

[3]
Entry from the Alexandria database: a geometry-optimized SiRhW2 structure (GGA-PBE).

Cell: 3.4630 4.3261 7.8928 Å, 90.00 90.00 90.00°
Positions (direct):
Si  0.0000  0.0000  0.0000
Si  0.5000  0.5000  0.0000
Rh  0.0000  0.5000  0.2072
Rh  0.5000  0.0000  0.2072
W  0.0000  0.0000  0.4759
W  0.0000  0.5000  0.7536
W  0.5000  0.0000  0.7536
W  0.5000  0.5000  0.4759

Properties
For the energy relative to the elements, uncorrected, the calculation gives -0.08 eV per atom. The calculation puts the density of states at the Fermi level at 3.57 states/eV/f.u. The value obtained for the size of the total moment is 0.00 μB per formula unit. The density comes out at 14.01 g cm⁻³.

[4]
Entry from the Alexandria database: a geometry-optimized ZnSn3Te structure (GGA-PBE).

Cell: 5.2841 5.2841 5.2841 Å, 90.00 90.00 90.00°
Positions (direct):
Zn  0.0000  0.0000  0.0000
Sn  0.0000  0.0000  0.5000
Sn  0.0000  0.5000  0.0000
Sn  0.5000  0.0000  0.0000
Te  0.5000  0.5000  0.5000

Properties
For the energy relative to the elements, uncorrected, the calculation gives 0.26 eV per atom. The calculation puts the density of states at the Fermi level at 4.04 states/eV/f.u. The value obtained for the size of the total moment is 0.00 μB per formula unit. The density comes out at 6.18 g cm⁻³.

[5]
Entry from the Alexandria database: a geometry-optimized CaY2Br8 structure (GGA-PBE).

Cell: 8.9484 8.9484 7.2871 Å, 97.92 97.92 66.62°
Positions (direct):
Ca  0.0000  0.0000  0.0000
Y  0.1813  0.1813  0.6503
Y  0.8187  0.8187  0.3497
Br  0.1133  0.7136  0.2153
Br  0.1685  0.1685  0.2752
Br  0.2864  0.8867  0.7847
Br  0.3526  0.3526  0.7881
Br  0.6474  0.6474  0.2119
Br  0.7136  0.1133  0.2153
Br  0.8315  0.8315  0.7248
Br  0.8867  0.2864  0.7847

Properties
For the energy relative to the elements, uncorrected, the calculation gives -1.77 eV per atom. The calculation puts the density of states at the Fermi level at 0.00 states/eV/f.u. The value obtained for the size of the total moment is 0.00 μB per formula unit. The density comes out at 2.69 g cm⁻³.

[6]
Entry from the Alexandria database: a geometry-optimized SmHo2Er2Tm structure (GGA-PBE).

Cell: 6.0241 18.0273 3.4962 Å, 90.00 90.00 90.00°
Positions (direct):
Sm  0.0000  0.0000  0.0000
Sm  0.5000  0.5000  0.5000
Ho  0.1664  0.1572  0.5000
Ho  0.3336  0.6572  0.0000
Ho  0.6664  0.3428  0.0000
Ho  0.8336  0.8428  0.5000
Er  0.1657  0.3431  0.5000
Er  0.3343  0.8431  0.0000
Er  0.6657  0.1569  0.0000
Er  0.8343  0.6569  0.5000
Tm  0.0000  0.5000  0.0000
Tm  0.5000  0.0000  0.5000

Properties
The calculation puts the density of states at the Fermi level at 8.62 states/eV/f.u. The value obtained for the size of the total moment is 0.00 μB per formula unit. The calculation puts the formation energy at 0.11 eV per atom. The density comes out at 8.60 g cm⁻³.